No. 1
Ca3NbRe | PBE | optimized geometry

Properties
E_form: 200 kJ/mol of atoms
density of states at the Fermi level: 11.8 states/eV per cell
magnetization: 0.00 μB per cell
total DFT energy (no corrections): -18.15 eV for the cell shown

a b c (Å): 5.2541 5.2541 5.2541
angles (deg): 90.00 90.00 90.00
Atoms (fractional coordinates):
Ca (0.5000, 0.0000, 0.0000)
Ca (0.0000, 0.0000, 0.5000)
Re (0.5000, 0.5000, 0.5000)
Ca (0.0000, 0.5000, 0.0000)
Nb (0.0000, 0.0000, 0.0000)

No. 2
Pm3Hg | PBE | optimized geometry

Properties
E_form: -17 kJ/mol of atoms
density of states at the Fermi level: 24.9 states/eV per cell
magnetization: 0.00 μB per cell
total DFT energy (no corrections): -61.02 eV for the cell shown

a b c (Å): 6.4618 9.4119 9.4119
angles (deg): 83.23 69.92 69.92
Atoms (fractional coordinates):
Pm (0.0737, 0.3874, 0.9474)
Pm (0.9789, 0.9474, 0.6126)
Pm (0.8073, 0.8005, 0.0395)
Pm (0.6473, 0.1995, 0.9605)
Hg (0.9661, 0.7558, 0.3528)
Hg (0.0748, 0.2442, 0.6472)
Pm (0.8367, 0.5967, 0.6796)
Pm (0.1532, 0.0395, 0.1995)
Pm (0.5665, 0.3204, 0.5967)
Hg (0.2781, 0.6472, 0.7558)
Pm (0.1131, 0.4033, 0.3204)
Pm (0.3922, 0.9605, 0.8005)
Pm (0.4836, 0.6796, 0.4033)
Pm (0.5389, 0.0526, 0.3874)
Pm (0.4085, 0.6126, 0.0526)
Hg (0.6810, 0.3528, 0.2442)

No. 3
BaSi2Sb | PBE | optimized geometry

Properties
energy relative to the elements, uncorrected: -128 meV/atom
density of states at the Fermi level: 1.5 states/eV per cell
magnetization: 0.00 μB per cell
total DFT energy (no corrections): -17.40 eV for the cell shown

a b c (Å): 3.8798 5.6856 5.5392
angles (deg): 69.52 90.00 90.00
Atoms (fractional coordinates):
Si (0.0000, 0.1434, 0.0123)
Sb (0.5000, 0.8679, 0.8014)
Si (0.5000, 0.0053, 0.2905)
Ba (0.0000, 0.4833, 0.3957)

No. 4
VTeN3 | PBE | optimized geometry

Properties
energy relative to the elements, uncorrected: 1482 meV/atom
density of states at the Fermi level: 3.6 states/eV per cell
magnetization: 1.77 μB per cell
total DFT energy (no corrections): -29.83 eV for the cell shown

a b c (Å): 3.9482 3.9482 3.9482
angles (deg): 90.00 90.00 90.00
Atoms (fractional coordinates):
V (0.5000, 0.5000, 0.5000)
N (0.0000, 0.0000, 0.5000)
N (0.5000, 0.0000, 0.0000)
Te (0.0000, 0.0000, 0.0000)
N (0.0000, 0.5000, 0.0000)

No. 5
TbHf2Re | PBE | optimized geometry

Properties
E_form: -8 kJ/mol of atoms
density of states at the Fermi level: 4.8 states/eV per cell
magnetization: 0.00 μB per cell
total DFT energy (no corrections): -37.32 eV for the cell shown

a b c (Å): 3.3138 3.3138 8.1512
angles (deg): 90.00 90.00 90.00
Atoms (fractional coordinates):
Tb (0.5000, 0.5000, 0.5000)
Hf (0.0000, 0.0000, 0.8103)
Re (0.5000, 0.5000, 0.0000)
Hf (0.0000, 0.0000, 0.1897)

No. 6
Sm12MgRu7 | PBE | optimized geometry

Properties
E_form: -15 kJ/mol of atoms
density of states at the Fermi level: 13.6 states/eV per cell
magnetization: 0.00 μB per cell
total DFT energy (no corrections): -126.29 eV for the cell shown

a b c (Å): 8.6835 8.6835 8.6835
angles (deg): 109.23 109.23 109.23
Atoms (fractional coordinates):
Sm (0.8601, 0.3326, 0.6943)
Sm (0.6943, 0.8601, 0.3326)
Ru (0.5000, 0.5000, 0.5000)
Ru (0.9250, 0.3010, 0.0232)
Ru (0.3010, 0.0232, 0.9250)
Ru (0.0750, 0.6990, 0.9768)
Ru (0.9768, 0.0750, 0.6990)
Ru (0.0232, 0.9250, 0.3010)
Sm (0.6103, 0.9105, 0.7057)
Sm (0.6674, 0.3057, 0.1399)
Sm (0.3057, 0.1399, 0.6674)
Sm (0.9105, 0.7057, 0.6103)
Sm (0.2943, 0.3897, 0.0895)
Sm (0.3897, 0.0895, 0.2943)
Sm (0.0895, 0.2943, 0.3897)
Sm (0.3326, 0.6943, 0.8601)
Ru (0.6990, 0.9768, 0.0750)
Sm (0.7057, 0.6103, 0.9105)
Mg (0.0000, 0.0000, 0.0000)
Sm (0.1399, 0.6674, 0.3057)

No. 7
AcPmTc | PBE | optimized geometry

Properties
E_form: 21 kJ/mol of atoms
density of states at the Fermi level: 4.9 states/eV per cell
magnetization: 0.00 μB per cell
total DFT energy (no corrections): -37.14 eV for the cell shown

a b c (Å): 7.5197 7.5197 8.5373
angles (deg): 123.87 123.87 28.43
Atoms (fractional coordinates):
Tc (0.4067, 0.4067, 0.2776)
Ac (0.1569, 0.1569, 0.0545)
Ac (0.8431, 0.8431, 0.9455)
Tc (0.5933, 0.5933, 0.7224)
Pm (0.8951, 0.8951, 0.5354)
Pm (0.1049, 0.1049, 0.4646)

No. 8
CaVTcBi2 | PBE | optimized geometry

Properties
E_form: 39 kJ/mol of atoms
density of states at the Fermi level: 4.6 states/eV per cell
magnetization: 2.10 μB per cell
total DFT energy (no corrections): -27.20 eV for the cell shown

a b c (Å): 5.4188 5.4188 4.7040
angles (deg): 90.00 90.00 90.00
Atoms (fractional coordinates):
Bi (0.5000, 0.0000, 0.0000)
Bi (0.0000, 0.5000, 0.0000)
Ca (0.5000, 0.5000, 0.5000)
V (0.0000, 0.0000, 0.5000)
Tc (0.0000, 0.0000, 0.0000)

No. 9
ZrAlGa | PBE | optimized geometry

Properties
E_form: -45 kJ/mol of atoms
density of states at the Fermi level: 0.8 states/eV per cell
magnetization: 0.00 μB per cell
total DFT energy (no corrections): -16.72 eV for the cell shown

a b c (Å): 3.5632 4.2020 4.2020
angles (deg): 120.00 90.00 90.00
Atoms (fractional coordinates):
Al (0.1675, 0.0000, 0.0000)
Ga (0.1658, 0.3333, 0.6667)
Zr (0.6667, 0.6667, 0.3333)

- magnetization of number 5 (TbHf2Re)?
  0.00 μB per cell

- Look up the density of states at the Fermi level of the sixth one.
  13.6 states/eV per cell

- The highest density of states at the Fermi level belongs to which entry?
  Pm3Hg